1.
## SiAgCl2 (GGA-PBE)

Data for a relaxed structure of SiAgCl2.

```
4
Lattice="-1.1978 3.7433 6.2952 3.1594 0.6624 6.6825 0.5249 -0.1881 -7.4004" Properties=species:S:1:pos:R:3 pbc="T T T"
Cl 0.0000 0.0000 0.0000
Cl 2.3325 1.3386 2.8855
Ag 0.1539 2.8790 2.6918
Si 0.9808 2.2029 6.4888
```

Summary:
**SG**: I-4m2 (119)
**Energy relative to the elements, uncorrected**: 0.132 eV/atom
**Magnetic moment**: 1.0 Bohr magnetons per cell
**Calculated total energy**: -11.44 eV per cell
**Excess energy over the best structure of this formula in the dataset**: 0.426 eV/atom
**Volume**: 24.8 Å³ per atom

=====

2.
## SiAgCl2 (GGA-PBE)

Data for a relaxed structure of SiAgCl2.

```
4
Lattice="8.3558 0.0163 0.0097 7.5799 3.5165 0.0097 7.5799 1.6804 3.0890" Properties=species:S:1:pos:R:3 pbc="T T T"
Cl 5.2625 1.1666 0.6956
Cl 0.6332 0.1404 0.0837
Si 11.5129 2.5523 1.5219
Ag 17.8649 3.9605 2.3615
```

Summary:
**SG**: R3m (160)
**Energy relative to the elements, uncorrected**: -0.185 eV/atom
**Magnetic moment**: 0.0 Bohr magnetons per cell
**Calculated total energy**: -12.71 eV per cell
**Excess energy over the best structure of this formula in the dataset**: 0.109 eV/atom
**Volume**: 22.5 Å³ per atom

=====

3.
## SiAgCl2 (GGA-PBE)

Data for a relaxed structure of SiAgCl2.

```
4
Lattice="-0.2351 -3.1193 1.1181 6.1242 -0.2147 0.6889 -0.3941 1.4472 3.9547" Properties=species:S:1:pos:R:3 pbc="T T T"
Ag 2.8650 0.6162 2.3218
Cl 0.0000 0.0000 0.0000
Cl 2.9445 -1.6670 0.9035
Si -0.3146 -0.8361 2.5364
```

Summary:
**SG**: Pmmm (47)
**Energy relative to the elements, uncorrected**: 0.111 eV/atom
**Magnetic moment**: 0.0 Bohr magnetons per cell
**Calculated total energy**: -11.52 eV per cell
**Excess energy over the best structure of this formula in the dataset**: 0.405 eV/atom
**Volume**: 21.7 Å³ per atom

=====

4.
## SiAgCl2 (GGA-PBE)

Data for a relaxed structure of SiAgCl2.

```
4
Lattice="-0.7136 0.1688 3.1053 1.7630 -4.9405 0.6738 4.8774 1.8794 1.0187" Properties=species:S:1:pos:R:3 pbc="T T T"
Cl 3.9444 1.5199 0.8238
Cl 2.4385 -1.6484 2.2893
Si 1.9320 0.7445 0.4035
Ag 4.9279 -0.6891 2.8092
```

Summary:
**SG**: Pmm2 (25)
**Energy relative to the elements, uncorrected**: 0.019 eV/atom
**Magnetic moment**: 0.0 Bohr magnetons per cell
**Calculated total energy**: -11.89 eV per cell
**Excess energy over the best structure of this formula in the dataset**: 0.312 eV/atom
**Volume**: 22.5 Å³ per atom

=====

5.
## SiAgCl2 (GGA-PBE)

Data for a relaxed structure of SiAgCl2.

```
4
Lattice="3.3062 0.0000 0.0000 0.0000 3.3062 0.0000 0.0000 0.0000 8.1967" Properties=species:S:1:pos:R:3 pbc="T T T"
Cl 0.0000 0.0000 7.4194
Cl 1.6531 1.6531 2.7192
Ag 1.6531 1.6531 5.9772
Si 0.0000 0.0000 4.3759
```

Summary:
**SG**: P4mm (99)
**Energy relative to the elements, uncorrected**: 0.032 eV/atom
**Magnetic moment**: 0.0 Bohr magnetons per cell
**Calculated total energy**: -11.84 eV per cell
**Excess energy over the best structure of this formula in the dataset**: 0.326 eV/atom
**Volume**: 22.4 Å³ per atom

=====

6.
## SiAgCl2 (GGA-PBE)

Data for a relaxed structure of SiAgCl2.

```
4
Lattice="5.9895 -5.4132 3.3999 7.8898 -2.5146 2.8575 5.9565 -2.8254 5.7684" Properties=species:S:1:pos:R:3 pbc="T T T"
Cl 17.9631 -9.7381 10.8905
Cl 1.8726 -1.0152 1.1353
Ag 9.9179 -5.3766 6.0129
Si 0.0000 0.0000 0.0000
```

Summary:
**SG**: R-3m (166)
**Energy relative to the elements, uncorrected**: -0.035 eV/atom
**Magnetic moment**: 0.0 Bohr magnetons per cell
**Calculated total energy**: -12.11 eV per cell
**Excess energy over the best structure of this formula in the dataset**: 0.259 eV/atom
**Volume**: 22.7 Å³ per atom

=====

7.
## Si3AgCl (GGA-PBE)

Data for a relaxed structure of Si3AgCl.

```
5
Lattice="-1.2297 1.4954 -4.5403 -0.2664 -4.7022 -1.4766 -4.7728 -0.1228 1.2522" Properties=species:S:1:pos:R:3 pbc="T T T"
Si -2.3864 -0.0614 0.6261
Si -0.6148 0.7477 -2.2701
Si -0.1332 -2.3511 -0.7383
Ag 0.0000 0.0000 0.0000
Cl -3.1344 -1.6649 -2.3823
```

Summary:
**SG**: Pm-3m (221)
**Energy relative to the elements, uncorrected**: 1.030 eV/atom
**Magnetic moment**: 0.0 Bohr magnetons per cell
**Calculated total energy**: -15.82 eV per cell
**Excess energy over the best structure of this formula in the dataset**: 0.000 eV/atom
**Volume**: 24.0 Å³ per atom

=====

8.
## Si3AgCl (GGA-PBE)

Data for a relaxed structure of Si3AgCl.

```
5
Lattice="4.7326 0.0000 0.0000 0.0000 4.7326 0.0000 0.0000 0.0000 4.7326" Properties=species:S:1:pos:R:3 pbc="T T T"
Ag 2.3663 2.3663 2.3663
Si 2.3663 0.0000 0.0000
Si 0.0000 0.0000 2.3663
Si 0.0000 2.3663 0.0000
Cl 0.0000 0.0000 0.0000
```

Summary:
**SG**: Pm-3m (221)
**Energy relative to the elements, uncorrected**: 1.176 eV/atom
**Magnetic moment**: 0.0 Bohr magnetons per cell
**Calculated total energy**: -15.09 eV per cell
**Excess energy over the best structure of this formula in the dataset**: 0.147 eV/atom
**Volume**: 21.2 Å³ per atom

=====

9.
## SiAgCl2 (GGA-PBE)

Data for a relaxed structure of SiAgCl2.

```
4
Lattice="-5.1662 0.7143 0.4886 -0.3036 -3.0128 1.1949 0.5782 0.3841 5.5510" Properties=species:S:1:pos:R:3 pbc="T T T"
Cl -2.5115 -0.9869 2.9664
Cl 0.3294 -1.7889 6.0977
Ag -2.3570 -1.7068 5.6519
Si 0.0594 -1.3748 2.6375
```

Summary:
**SG**: Pm (6)
**Energy relative to the elements, uncorrected**: -0.072 eV/atom
**Magnetic moment**: 0.0 Bohr magnetons per cell
**Calculated total energy**: -12.25 eV per cell
**Excess energy over the best structure of this formula in the dataset**: 0.222 eV/atom
**Volume**: 22.8 Å³ per atom

=====

10.
## SiAgCl2 (GGA-PBE)

Data for a relaxed structure of SiAgCl2.

```
4
Lattice="-2.7110 3.1465 6.2814 -4.6416 -1.9690 5.5934 5.9930 -0.8789 -4.4742" Properties=species:S:1:pos:R:3 pbc="T T T"
Cl -6.5445 1.0482 10.5698
Cl -4.4843 0.7182 7.2424
Si -0.1971 1.4282 3.8723
Ag -1.1624 -1.1295 3.5283
```

Summary:
**SG**: Immm (71)
**Energy relative to the elements, uncorrected**: -0.128 eV/atom
**Magnetic moment**: 0.0 Bohr magnetons per cell
**Calculated total energy**: -12.48 eV per cell
**Excess energy over the best structure of this formula in the dataset**: 0.166 eV/atom
**Volume**: 25.7 Å³ per atom

=====

11.
## Si2AgCl8 (GGA-PBE)

Data for a relaxed structure of Si2AgCl8.

```
11
Lattice="-3.4714 8.1842 1.5946 -7.7185 -0.4400 1.6429 -3.0244 0.4512 7.2882" Properties=species:S:1:pos:R:3 pbc="T T T"
Cl -3.6840 4.5381 2.3469
Cl -9.6448 6.6344 6.9725
Cl -9.0867 1.7936 4.6044
Cl -10.5303 3.6573 8.1787
Cl -7.7129 5.9109 2.8121
Cl -6.5014 2.2845 7.7136
Cl -4.5695 1.5610 3.5531
Cl -5.1276 6.4017 5.9212
Ag 0.0000 0.0000 0.0000
Si -3.2759 2.5425 2.3226
Si -10.9384 5.6529 8.2030
```

Summary:
**SG**: C2/m (12)
**Energy relative to the elements, uncorrected**: -0.912 eV/atom
**Magnetic moment**: 1.0 Bohr magnetons per cell
**Calculated total energy**: -38.50 eV per cell
**Volume**: 38.7 Å³ per atom

=====

12.
## SiAgCl2 (GGA-PBE)

Data for a relaxed structure of SiAgCl2.

```
4
Lattice="4.4476 0.0181 -0.0164 3.2653 3.0198 -0.0164 0.7088 0.2792 6.5237" Properties=species:S:1:pos:R:3 pbc="T T T"
Cl 7.3718 2.9036 0.0136
Cl 4.5518 1.7929 3.1991
Si 6.3162 2.4878 4.8683
Ag 2.1054 0.8293 1.6228
```

Summary:
**SG**: C2/m (12)
**Energy relative to the elements, uncorrected**: 0.016 eV/atom
**Magnetic moment**: 0.0 Bohr magnetons per cell
**Calculated total energy**: -11.90 eV per cell
**Excess energy over the best structure of this formula in the dataset**: 0.310 eV/atom
**Volume**: 21.8 Å³ per atom

=====

13.
## SiAg4Cl (GGA-PBE)

Data for a relaxed structure of SiAg4Cl.

```
6
Lattice="0.0000 3.9202 3.9202 3.9202 0.0000 3.9202 3.9202 3.9202 0.0000" Properties=species:S:1:pos:R:3 pbc="T T T"
Ag 2.9370 4.9034 4.9034
Ag 4.9034 2.9370 4.9034
Ag 4.9034 4.9034 2.9370
Ag 2.9370 2.9370 2.9370
Cl 5.8803 5.8803 5.8803
Si 0.0000 0.0000 0.0000
```

Summary:
**SG**: F-43m (216)
**Energy relative to the elements, uncorrected**: 0.395 eV/atom
**Magnetic moment**: 0.0 Bohr magnetons per cell
**Calculated total energy**: -16.31 eV per cell
**Volume**: 20.1 Å³ per atom

=====

14.
## SiAgCl2 (GGA-PBE)

Data for a relaxed structure of SiAgCl2.

```
4
Lattice="3.8048 0.0000 0.0000 0.0000 3.2620 -0.0153 0.0000 -1.4650 7.1052" Properties=species:S:1:pos:R:3 pbc="T T T"
Cl 0.0000 -0.9862 7.0319
Cl 0.0000 0.4198 3.6183
Si 1.9024 0.4493 1.7725
Ag 1.9024 1.3478 5.3174
```

Summary:
**SG**: P2/m (10)
**Energy relative to the elements, uncorrected**: -0.030 eV/atom
**Magnetic moment**: 0.0 Bohr magnetons per cell
**Calculated total energy**: -12.09 eV per cell
**Excess energy over the best structure of this formula in the dataset**: 0.264 eV/atom
**Volume**: 22.0 Å³ per atom

=====

15.
## SiAgCl2 (GGA-PBE)

Data for a relaxed structure of SiAgCl2.

```
4
Lattice="3.2561 0.0000 0.0000 0.0000 3.2310 0.0000 0.0000 0.0000 7.7195" Properties=species:S:1:pos:R:3 pbc="T T T"
Si 1.6280 1.6155 1.9299
Cl 0.0000 0.0000 7.5785
Cl 0.0000 0.0000 4.0007
Ag 1.6280 1.6155 5.7896
```

Summary:
**SG**: Pmmm (47)
**Energy relative to the elements, uncorrected**: 0.191 eV/atom
**Magnetic moment**: 0.0 Bohr magnetons per cell
**Calculated total energy**: -11.20 eV per cell
**Excess energy over the best structure of this formula in the dataset**: 0.485 eV/atom
**Volume**: 20.3 Å³ per atom

=====

16.
## SiAgCl2 (GGA-PBE)

Data for a relaxed structure of SiAgCl2.

```
4
Lattice="3.5394 0.0032 0.0000 -1.8469 3.0193 0.0000 0.0000 0.0000 8.6162" Properties=species:S:1:pos:R:3 pbc="T T T"
Ag 0.8463 1.5113 6.2939
Cl 0.8463 1.5113 2.6967
Cl 0.0000 0.0000 8.0700
Si 0.0000 0.0000 4.4798
```

Summary:
**SG**: Cmm2 (35)
**Energy relative to the elements, uncorrected**: -0.021 eV/atom
**Magnetic moment**: 0.0 Bohr magnetons per cell
**Calculated total energy**: -12.05 eV per cell
**Excess energy over the best structure of this formula in the dataset**: 0.273 eV/atom
**Volume**: 23.0 Å³ per atom

=====

17.
## SiAgCl2 (GGA-PBE)

Data for a relaxed structure of SiAgCl2.

```
4
Lattice="1.9406 0.0000 8.9538 -0.9703 1.6806 8.9538 -0.9703 -1.6806 8.9538" Properties=species:S:1:pos:R:3 pbc="T T T"
Si 0.0000 0.0000 13.4307
Cl 0.0000 0.0000 24.4694
Cl 0.0000 0.0000 2.3919
Ag 0.0000 0.0000 0.0000
```

Summary:
**SG**: R-3m (166)
**Energy relative to the elements, uncorrected**: 0.092 eV/atom
**Magnetic moment**: 0.0 Bohr magnetons per cell
**Calculated total energy**: -11.60 eV per cell
**Excess energy over the best structure of this formula in the dataset**: 0.386 eV/atom
**Volume**: 21.9 Å³ per atom

=====

18.
## SiAgCl2 (GGA-PBE)

Data for a relaxed structure of SiAgCl2.

```
4
Lattice="8.4602 -0.0050 -0.0029 7.7748 3.3359 -0.0029 7.7748 1.5951 2.9298" Properties=species:S:1:pos:R:3 pbc="T T T"
Si 18.0074 3.6945 2.1929
Cl 12.1400 2.4908 1.4784
Cl 23.8747 4.8983 2.9074
Ag 6.0025 1.2315 0.7310
```

Summary:
**SG**: R-3m (166)
**Energy relative to the elements, uncorrected**: 0.080 eV/atom
**Magnetic moment**: 0.0 Bohr magnetons per cell
**Calculated total energy**: -11.65 eV per cell
**Excess energy over the best structure of this formula in the dataset**: 0.374 eV/atom
**Volume**: 20.7 Å³ per atom

=====

19.
## SiAgCl6 (GGA-PBE)

Data for a relaxed structure of SiAgCl6.

```
8
Lattice="5.7042 0.1386 -0.2013 2.9238 7.0029 0.7334 2.6528 3.2825 5.9636" Properties=species:S:1:pos:R:3 pbc="T T T"
Cl 3.7445 5.0243 4.9591
Cl 6.9200 3.2195 3.9791
Cl 7.5363 5.3998 1.5367
Cl 4.4948 1.6278 0.7223
Cl 4.3608 7.2046 2.5167
Cl 6.7860 8.7963 5.7735
Ag 5.6404 5.2121 3.2479
Si 0.0000 0.0000 0.0000
```

Summary:
**SG**: P-1 (2)
**Energy relative to the elements, uncorrected**: -0.669 eV/atom
**Magnetic moment**: 0.8 Bohr magnetons per cell
**Calculated total energy**: -24.71 eV per cell
**Volume**: 28.0 Å³ per atom

=====

20.
## SiAgCl2 (GGA-PBE)

Data for a relaxed structure of SiAgCl2.

```
4
Lattice="5.6854 -0.0203 0.0129 1.4422 5.4995 -0.0129 -2.3735 -4.2879 2.8817" Properties=species:S:1:pos:R:3 pbc="T T T"
Si 3.4699 2.6674 0.0000
Ag 1.4904 2.1095 1.4344
Cl 3.0487 -1.0835 1.4473
Cl 0.3088 0.2374 0.0000
```

Summary:
**SG**: Imm2 (44)
**Energy relative to the elements, uncorrected**: 0.003 eV/atom
**Magnetic moment**: 0.0 Bohr magnetons per cell
**Calculated total energy**: -11.96 eV per cell
**Excess energy over the best structure of this formula in the dataset**: 0.297 eV/atom
**Volume**: 22.5 Å³ per atom